1.
CsK2Ca2Cl7: optimized geometry, PBE.

Output
Its crystal system is monoclinic. The final energy comes out at -46.3 eV per cell. For the density, the calculation gives 2.26 Mg/m³.

a b c (Å): 5.434 5.434 13.945
angles (deg): 101.06 101.06 89.80
Element x y z (fractional)
Cs 0.000 0.000 0.000
K 0.145 0.145 0.368
K 0.855 0.855 0.632
Ca 0.400 0.400 0.793
Ca 0.600 0.600 0.207
Cl 0.099 0.594 0.203
Cl 0.278 0.278 0.594
Cl 0.406 0.901 0.797
Cl 0.500 0.500 0.000
Cl 0.594 0.099 0.203
Cl 0.722 0.722 0.406
Cl 0.901 0.406 0.797

***

2.
CsK2CaCl5: optimized geometry, PBE.

Output
Its crystal system is orthorhombic. The final energy comes out at -33.3 eV per cell. For the density, the calculation gives 2.29 Mg/m³.

a b c (Å): 8.910 8.910 8.910
angles (deg): 145.38 128.62 63.44
Element x y z (fractional)
Cs 0.000 0.000 0.000
K 0.291 0.791 0.500
K 0.709 0.209 0.500
Ca 0.500 0.500 0.000
Cl 0.125 0.368 0.758
Cl 0.390 0.632 0.758
Cl 0.500 0.000 0.500
Cl 0.610 0.368 0.242
Cl 0.875 0.632 0.242

***

3.
Cs2KCaCl5: optimized geometry, PBE.

Output
Its crystal system is orthorhombic. The final energy comes out at -32.8 eV per cell. For the density, the calculation gives 2.54 Mg/m³.

a b c (Å): 9.528 9.528 9.528
angles (deg): 147.61 132.10 59.01
Element x y z (fractional)
Cs 0.208 0.208 0.000
Cs 0.792 0.792 0.000
K 0.500 0.000 0.500
Ca 0.000 0.500 0.500
Cl 0.000 0.000 0.000
Cl 0.132 0.382 0.750
Cl 0.369 0.618 0.750
Cl 0.631 0.382 0.250
Cl 0.868 0.618 0.250